Compound: SrSn3Hg
Source: Alexandria via LeMat-Bulk
Functional: GGA-PBEsol
Structure: optimized geometry

- calculated total energy (eV/atom) = -2.141
- formation energy from the elements (eV per formula unit) = 4.5
- theoretical density (g/cm³) = 5.1
- SG = Pm-3m, No. 221

```
SrSn3Hg
1.0
5.9551 0.0000 0.0000
0.0000 5.9551 0.0000
0.0000 0.0000 5.9551
Sr Sn Hg
1 3 1
direct
0.0000 0.0000 0.0000 Sr
0.0000 0.0000 0.5000 Sn
0.0000 0.5000 0.0000 Sn
0.5000 0.0000 0.0000 Sn
0.5000 0.5000 0.5000 Hg
```